Entry from Alexandria: an optimized crystal structure of Sm2Ga3SiNi4 (PBE).

Calculated values
Energy, eV/cell: -53.19

Cell and atoms, written as CIF:
```
data_Sm2Ga3SiNi4
_space_group_name_H-M_alt 'P -4 m 2'
_space_group_IT_number 115
_cell_length_a 4.1017
_cell_length_b 4.1017
_cell_length_c 9.8105
_cell_angle_alpha 90.00
_cell_angle_beta 90.00
_cell_angle_gamma 90.00
loop_
_space_group_symop_operation_xyz
'x,y,z'
'y,-x,-z'
'-x,-y,z'
'-y,x,-z'
'-x,y,z'
'-y,-x,-z'
'x,-y,z'
'y,x,-z'
loop_
_atom_site_label
_atom_site_type_symbol
_atom_site_fract_x
_atom_site_fract_y
_atom_site_fract_z
Sm1 Sm 0.0000 0.5000 0.2463
Ga1 Ga 0.0000 0.0000 0.0000
Ga2 Ga 0.0000 0.5000 0.6294
Si1 Si 0.5000 0.5000 0.0000
Ni1 Ni 0.0000 0.0000 0.5000
Ni2 Ni 0.0000 0.5000 0.8763
Ni3 Ni 0.5000 0.5000 0.5000
```